Entry 1:
Computed, not measured: Nd5Rh after structural relaxation at the PBE level of DFT.

Calculated formation energy = -89 meV/atom
SG = No. 65
Volume = 31.23 Å³/atom

POSCAR file:
```
Nd5Rh
1.0
5.854 0.000 0.000
0.000 3.786 0.000
0.000 -1.893 8.456
Rh Nd
1 5
direct
0.000 0.000 0.000 Rh
0.500 0.832 0.665 Nd
0.000 0.629 0.257 Nd
0.500 0.500 0.000 Nd
0.000 0.371 0.743 Nd
0.500 0.168 0.335 Nd
```

Entry 2:
Computed, not measured: KMgSc2 after structural relaxation at the PBE level of DFT.

Calculated formation energy = 343 meV/atom
SG = No. 166
Volume = 29.51 Å³/atom

POSCAR file:
```
KMgSc2
1.0
12.116 -0.004 -0.002
11.646 3.340 -0.002
11.646 1.635 2.912
K Mg Sc
1 1 2
direct
0.250 0.250 0.250 K
0.750 0.750 0.750 Mg
0.014 0.014 0.014 Sc
0.486 0.486 0.486 Sc
```